(1)
Material: LiAcPmRh
Method: DFT, GGA-PBE
State: relaxed

Lattice parameters (Å, degrees): 7.398 7.398 7.398 90.00 90.00 90.00
Space group F-43m (No. 216)
Asymmetric unit:
Li (0.000, 0.000, 0.000) [4 per cell]
Ac (0.250, 0.250, 0.250) [4 per cell]
Pm (0.250, 0.250, 0.750) [4 per cell]
Rh (0.000, 0.000, 0.500) [4 per cell]

Total magnetization (μB/f.u.): 0.00
Energy (eV/cell): -77.061
E_form (eV per atom): -0.285
D(E_F) (states/eV/atom): 0.905

***

(2)
Material: LiAc2Pm3S6
Method: DFT, GGA-PBE
State: relaxed

Lattice parameters (Å, degrees): 7.083 12.305 7.200 90.00 109.30 90.00
Space group C2/m (No. 12)
Asymmetric unit:
Li (0.000, 0.000, 0.000) [2 per cell]
Ac (0.000, 0.334, 0.000) [4 per cell]
Pm (0.000, 0.166, 0.500) [4 per cell]
Pm (0.000, 0.500, 0.500) [2 per cell]
S (0.234, 0.000, 0.743) [4 per cell]
S (0.246, 0.160, 0.259) [8 per cell]

Total magnetization (μB/f.u.): 0.00
Energy (eV/cell): -144.772
Formation energy without anion corrections (kJ/mol of atoms): -187
D(E_F) (states/eV/atom): 0.411

***

(3)
Material: LiAc2PmS5
Method: DFT, GGA-PBE
State: relaxed

Lattice parameters (Å, degrees): 4.177 17.116 12.352 90.00 90.00 90.00
Space group Cmc2_1 (No. 36)
Asymmetric unit:
Li (0.000, 0.014, 0.000) [4 per cell]
Ac (0.000, 0.377, 0.819) [4 per cell]
Ac (0.000, 0.390, 0.203) [4 per cell]
Pm (0.000, 0.304, 0.520) [4 per cell]
S (0.000, 0.002, 0.804) [4 per cell]
S (0.000, 0.138, 0.519) [4 per cell]
S (0.000, 0.194, 0.866) [4 per cell]
S (0.000, 0.210, 0.176) [4 per cell]
S (0.000, 0.455, 0.582) [4 per cell]

Total magnetization (μB/f.u.): 0.00
Energy (eV/cell): -214.147
Formation energy without anion corrections (kJ/mol of atoms): -193

***

(4)
Material: LiAcPmSc
Method: DFT, GGA-PBE
State: relaxed

Lattice parameters (Å, degrees): 7.918 7.918 7.918 90.00 90.00 90.00
Space group F-43m (No. 216)
Asymmetric unit:
Li (0.000, 0.000, 0.000) [4 per cell]
Ac (0.250, 0.250, 0.750) [4 per cell]
Pm (0.250, 0.250, 0.250) [4 per cell]
Sc (0.000, 0.000, 0.500) [4 per cell]

Total magnetization (μB/f.u.): 0.00
Energy (eV/cell): -66.095
E_form (eV per atom): 0.145
D(E_F) (states/eV/atom): 0.905

***

Question: What is the formula in the third record?
Answer: LiAc2PmS5

***

Copy entry 2 word for word.
Material: LiAc2Pm3S6
Method: DFT, GGA-PBE
State: relaxed

Lattice parameters (Å, degrees): 7.083 12.305 7.200 90.00 109.30 90.00
Space group C2/m (No. 12)
Asymmetric unit:
Li (0.000, 0.000, 0.000) [2 per cell]
Ac (0.000, 0.334, 0.000) [4 per cell]
Pm (0.000, 0.166, 0.500) [4 per cell]
Pm (0.000, 0.500, 0.500) [2 per cell]
S (0.234, 0.000, 0.743) [4 per cell]
S (0.246, 0.160, 0.259) [8 per cell]

Total magnetization (μB/f.u.): 0.00
Energy (eV/cell): -144.772
Formation energy without anion corrections (kJ/mol of atoms): -187
D(E_F) (states/eV/atom): 0.411

***

Question: What is the energy in the fourth record?
Answer: -66.095 eV/cell

***

Question: Look up the energy of the first one.
Answer: -77.061 eV/cell